CoPbSO | PBE with a Hubbard U | optimized geometry

```
CoPbSO
1.0
5.820 0.000 0.000
0.000 5.988 0.000
0.000 0.000 17.935
Co O Pb S
8 8 8 8
direct
0.338 0.397 0.215
0.838 0.103 0.215
0.838 0.603 0.285
0.338 0.897 0.285
0.162 0.397 0.715
0.662 0.103 0.715
0.662 0.603 0.785
0.162 0.897 0.785
0.688 0.404 0.214
0.188 0.096 0.214
0.188 0.596 0.286
0.688 0.904 0.286
0.812 0.404 0.714
0.312 0.096 0.714
0.312 0.596 0.786
0.812 0.904 0.786
0.748 0.501 0.085
0.248 0.999 0.085
0.248 0.499 0.415
0.748 0.001 0.415
0.752 0.501 0.585
0.252 0.999 0.585
0.252 0.499 0.915
0.752 0.001 0.915
0.252 0.511 0.092
0.752 0.989 0.092
0.752 0.489 0.408
0.252 0.011 0.408
0.248 0.511 0.592
0.748 0.989 0.592
0.748 0.489 0.908
0.248 0.011 0.908
```

Values from the calculation:
distance to the lowest polymorph of the same formula = 1.2 meV/atom
total energy = -166.54 eV for the cell shown
space group = No. 61